No. 1
A relaxed HgMo2As2 crystal, computed with PBE-GGA.

abc: 7.343 7.343 3.214
angles: 90.00 90.00 90.00
Sites, in units of the cell vectors:
Hg (0.000, 0.000, 0.000)
Hg (0.500, 0.500, 0.000)
Mo (0.142, 0.358, 0.000)
Mo (0.358, 0.858, 0.000)
Mo (0.642, 0.142, 0.000)
Mo (0.858, 0.642, 0.000)
As (0.146, 0.646, 0.500)
As (0.354, 0.146, 0.500)
As (0.646, 0.854, 0.500)
As (0.854, 0.354, 0.500)

SG: P4/mbm
Crystal system: tetragonal

=====

No. 2
A relaxed HgMo3As crystal, computed with PBE-GGA.

abc: 4.636 4.636 4.636
angles: 90.00 90.00 90.00
Sites, in units of the cell vectors:
Hg (0.000, 0.000, 0.000)
Mo (0.000, 0.500, 0.500)
Mo (0.500, 0.000, 0.500)
Mo (0.500, 0.500, 0.000)
As (0.500, 0.500, 0.500)

Relative energy among the computed polymorphs (eV per atom): 0.000
SG: Pm-3m
Crystal system: cubic

=====

No. 3
A relaxed HgMo2As crystal, computed with PBE-GGA.

abc: 4.663 4.663 5.404
angles: 104.98 104.98 40.22
Sites, in units of the cell vectors:
Hg (0.000, 0.000, 0.000)
Mo (0.233, 0.233, 0.684)
Mo (0.767, 0.767, 0.316)
As (0.500, 0.500, 0.500)

Relative energy among the computed polymorphs (eV per atom): 0.226
SG: C2/m
Crystal system: monoclinic

=====

No. 4
A relaxed HgMoAs crystal, computed with PBE-GGA.

abc: 8.501 8.324 2.897
angles: 83.54 76.67 19.79
Sites, in units of the cell vectors:
Hg (0.000, 0.000, 0.000)
Mo (0.346, 0.346, 0.654)
As (0.729, 0.729, 0.271)

Relative energy among the computed polymorphs (eV per atom): 0.120
SG: Fmm2
Crystal system: orthorhombic

=====

no.,energy relative to the elements (eV per atom)
1,0.08
2,1.12
3,0.43
4,0.36